Entry 1:
Computed, not measured: ScTeAuI2 after structural relaxation at the GGA-PBEsol level of DFT.

Lattice parameters (Å, degrees): 5.431 5.431 5.471 90.00 90.00 90.00
Each line ends with the local moment (μB).
Positions (direct):
I1 0.500 0.000 0.000  -0.03
I2 0.000 0.500 0.000  -0.03
Au1 0.000 0.000 0.000  0.00
Te1 0.000 0.000 0.500  -0.06
Sc1 0.500 0.500 0.500  0.67

## Properties
Uncorrected formation energy: 174 meV/atom
Total moment: 0.155 μB/atom
D(E_F): 1.1774 states/eV per atom
Space group: P4/mmm (123)

---

Entry 2:
Computed, not measured: LiGaTcPb2 after structural relaxation at the GGA-PBEsol level of DFT.

Lattice parameters (Å, degrees): 4.874 5.262 5.262 90.00 90.00 90.00
Positions (direct):
Li1 0.500 0.500 0.500
Pb1 0.000 0.500 0.000
Tc1 0.000 0.000 0.000
Ga1 0.500 0.000 0.000
Pb2 0.000 0.000 0.500

## Properties
ΔH_f (0 K): 0.29 eV per atom
Total moment: 0.006 μB/atom
D(E_F): 0.7410 states/eV per atom
Space group: P4/mmm (123)

---

Entry 3:
Computed, not measured: Ba7ZrN6 after structural relaxation at the GGA-PBEsol level of DFT.

Lattice parameters (Å, degrees): 7.116 12.374 14.705 90.00 90.00 90.00
Positions (direct):
Zr1 0.440 0.500 0.750
Ba1 0.947 0.500 0.750
Ba2 0.741 0.237 0.129
Ba3 0.258 0.015 0.471
N1 0.551 0.832 0.990
N2 0.240 0.872 0.215
Zr2 0.940 0.000 0.750
N3 0.760 0.128 0.785
Ba4 0.741 0.763 0.371
N4 0.114 0.031 0.640
Ba5 0.106 0.787 0.618
Zr3 0.560 0.500 0.250
Ba6 0.394 0.287 0.382
N5 0.949 0.332 0.010
N6 0.051 0.332 0.510
Ba7 0.258 0.985 0.029
Ba8 0.242 0.515 0.529
Ba9 0.742 0.015 0.971
N7 0.886 0.969 0.360
N8 0.260 0.628 0.715
Ba10 0.447 0.000 0.750
N9 0.260 0.372 0.785
N10 0.614 0.469 0.640
N11 0.449 0.832 0.490
Zr4 0.060 0.000 0.250
Ba11 0.758 0.515 0.029
Ba12 0.241 0.737 0.371
Ba13 0.106 0.213 0.882
N12 0.551 0.168 0.510
N13 0.949 0.668 0.490
N14 0.386 0.531 0.360
Ba14 0.742 0.985 0.529
Ba15 0.606 0.713 0.618
N15 0.740 0.628 0.215
Ba16 0.758 0.485 0.471
Ba17 0.394 0.713 0.118
Ba18 0.259 0.763 0.871
Ba19 0.894 0.213 0.382
N16 0.449 0.168 0.010
N17 0.740 0.372 0.285
Ba20 0.894 0.787 0.118
Ba21 0.241 0.263 0.129
Ba22 0.053 0.500 0.250
N18 0.614 0.531 0.860
Ba23 0.606 0.287 0.882
Ba24 0.259 0.237 0.629
Ba25 0.759 0.737 0.871
N19 0.114 0.969 0.860
N20 0.760 0.872 0.715
Ba26 0.242 0.485 0.971
N21 0.240 0.128 0.285
N22 0.386 0.469 0.140
N23 0.886 0.031 0.140
N24 0.051 0.668 0.990
Ba27 0.553 0.000 0.250
Ba28 0.759 0.263 0.629

## Properties
Uncorrected formation energy: -735 meV/atom
Total moment: 0.000 μB/atom
Space group: Pbcn (60)

---

Entry 4:
Computed, not measured: HfSi2Br after structural relaxation at the GGA-PBEsol level of DFT.

Lattice parameters (Å, degrees): 8.407 8.407 6.447 130.69 130.69 90.00
Positions (direct):
Si1 0.125 0.067 0.750
Hf1 0.250 0.750 0.500
Si2 0.933 0.375 0.250
Hf2 0.000 0.000 0.000
Br1 0.500 0.500 0.000
Br2 0.750 0.250 0.500
Si3 0.317 0.875 0.250
Si4 0.625 0.683 0.750

## Properties
Uncorrected formation energy: 293 meV/atom
Total moment: 0.000 μB/atom
D(E_F): 0.9112 states/eV per atom
Space group: I-42d (122)

---

Entry 5:
Computed, not measured: ReNiO2 after structural relaxation at the GGA-PBEsol level of DFT.

Lattice parameters (Å, degrees): 2.707 2.707 6.643 78.24 78.24 60.00
Each line ends with the local moment (μB).
Positions (direct):
Ni1 0.000 0.000 0.000  0.58
O1 0.905 0.905 0.286  0.01
Re1 0.500 0.500 0.500  -0.01
O2 0.095 0.095 0.714  0.01

## Properties
Uncorrected formation energy: -767 meV/atom
Total moment: 0.135 μB/atom
D(E_F): 0.5350 states/eV per atom
Space group: R-3m (166)

---

Entry 6:
Computed, not measured: NbAgS2 after structural relaxation at the GGA-PBEsol level of DFT.

Lattice parameters (Å, degrees): 5.822 5.822 6.539 116.43 116.43 90.00
Positions (direct):
Ag1 0.250 0.750 0.500
Ag2 0.000 0.000 0.000
Nb1 0.500 0.500 0.000
S1 0.392 0.875 0.250
Nb2 0.750 0.250 0.500
S2 0.625 0.608 0.750
S3 0.858 0.375 0.250
S4 0.125 0.142 0.750

## Properties
Uncorrected formation energy: -299 meV/atom
Total moment: 0.000 μB/atom
D(E_F): 0.8045 states/eV per atom
Space group: I-42d (122)

---

Entry 7:
Computed, not measured: LaAgPb after structural relaxation at the GGA-PBEsol level of DFT.

Lattice parameters (Å, degrees): 3.746 4.901 4.901 120.00 90.00 90.00
Positions (direct):
Pb1 0.167 0.667 0.333
Ag1 0.167 0.000 0.000
La1 0.667 0.333 0.667

## Properties
ΔH_f (0 K): -0.45 eV per atom
Total moment: 0.000 μB/atom
D(E_F): 0.7683 states/eV per atom
Space group: P-6m2 (187)

---

Entry 8:
Computed, not measured: Cs2InAsBr6 after structural relaxation at the GGA-PBEsol level of DFT.

Lattice parameters (Å, degrees): 7.895 7.895 7.895 60.00 60.00 60.00
Positions (direct):
Br1 0.238 0.762 0.762
Br2 0.238 0.238 0.762
Br3 0.762 0.238 0.762
Br4 0.238 0.762 0.238
Br5 0.762 0.762 0.238
Cs1 0.250 0.250 0.250
Br6 0.762 0.238 0.238
As1 0.000 0.000 0.000
In1 0.500 0.500 0.500
Cs2 0.750 0.750 0.750

## Properties
Uncorrected formation energy: -1072 meV/atom
Total moment: 0.000 μB/atom
D(E_F): 0.0083 states/eV per atom
Space group: Fm-3m (225)

---

Entry 9:
Computed, not measured: Ga2CoNi after structural relaxation at the GGA-PBEsol level of DFT.

Lattice parameters (Å, degrees): 2.872 2.872 5.669 90.00 90.00 90.00
Each line ends with the local moment (μB).
Positions (direct):
Ga1 0.000 0.000 0.754  -0.01
Ga2 0.000 0.000 0.246  -0.01
Co1 0.500 0.500 0.000  0.56
Ni1 0.500 0.500 0.500  0.07

## Properties
ΔH_f (0 K): -0.37 eV per atom
Total moment: 0.151 μB/atom
D(E_F): 0.4841 states/eV per atom
Space group: P4/mmm (123)

---

Entry 10:
Computed, not measured: NaVN2 after structural relaxation at the GGA-PBEsol level of DFT.

Lattice parameters (Å, degrees): 5.790 6.527 6.828 90.00 90.00 116.33
Positions (direct):
N1 0.387 0.274 0.250
N2 0.917 0.834 0.116
V1 0.430 0.860 0.644
Na1 0.175 0.351 0.571
N3 0.887 0.274 0.250
V2 0.070 0.140 0.144
Na2 0.325 0.649 0.071
N4 0.583 0.166 0.616
Na3 0.675 0.351 0.929
N5 0.083 0.166 0.884
V3 0.930 0.860 0.856
N6 0.417 0.834 0.384
Na4 0.825 0.649 0.429
N7 0.613 0.726 0.750
V4 0.570 0.140 0.356
N8 0.113 0.726 0.750

## Properties
Uncorrected formation energy: -731 meV/atom
Total moment: 0.000 μB/atom
Space group: Cmce (64)

---

Entry 11:
Computed, not measured: AlRe2Te after structural relaxation at the GGA-PBEsol level of DFT.

Lattice parameters (Å, degrees): 3.172 4.428 4.428 90.00 90.00 90.00
Positions (direct):
Re1 0.000 0.500 0.000
Re2 0.000 0.000 0.500
Al1 0.500 0.000 0.000
Te1 0.500 0.500 0.500

## Properties
Uncorrected formation energy: 391 meV/atom
Total moment: 0.000 μB/atom
D(E_F): 0.5019 states/eV per atom
Space group: P4/mmm (123)

---

Entry 12:
Computed, not measured: ZrFePb3 after structural relaxation at the GGA-PBEsol level of DFT.

Lattice parameters (Å, degrees): 5.011 5.011 5.011 90.00 90.00 90.00
Each line ends with the local moment (μB).
Positions (direct):
Pb1 0.500 0.000 0.000  -0.01
Fe1 0.000 0.000 0.000  1.71
Pb2 0.000 0.000 0.500  -0.01
Zr1 0.500 0.500 0.500  0.62
Pb3 0.000 0.500 0.000  -0.01

## Properties
ΔH_f (0 K): 0.68 eV per atom
Total moment: 0.538 μB/atom
D(E_F): 1.3897 states/eV per atom
Space group: Pm-3m (221)

---

no.,VASP energy (eV per atom)
1,-3.34
2,-4.62
3,-6.11
4,-5.67
5,-8.26
6,-6.02
7,-4.67
8,-3.19
9,-5.52
10,-7.75
11,-8.18
12,-5.33